Model one:
BaIn3P: optimized geometry, PBE.

Results
- volume (Å³/cell) = 157

a = 5.3924 Å, b = 5.3924 Å, c = 5.3924 Å
α = 90.00°, β = 90.00°, γ = 90.00°
Last column: nearest neighbours and their distance in Å.
Fractional coordinates of all 5 atoms:
Ba (0.0000, 0.0000, 0.0000)  12 In 3.81
In (0.0000, 0.5000, 0.5000)  2 P 2.70
In (0.5000, 0.0000, 0.5000)  2 P 2.70
In (0.5000, 0.5000, 0.0000)  2 P 2.70
P (0.5000, 0.5000, 0.5000)  6 In 2.70

Model two:
BaIn3P: optimized geometry, PBE.

Results
- volume (Å³/cell) = 260

a = 6.3807 Å, b = 6.3807 Å, c = 6.3807 Å
α = 90.00°, β = 90.00°, γ = 90.00°
Last column: nearest neighbours and their distance in Å.
Fractional coordinates of all 5 atoms:
Ba (0.0000, 0.0000, 0.0000)  6 In 3.19
In (0.0000, 0.0000, 0.5000)  2 Ba 3.19
In (0.0000, 0.5000, 0.0000)  2 Ba 3.19
In (0.5000, 0.0000, 0.0000)  2 Ba 3.19
P (0.5000, 0.5000, 0.5000)  12 In 4.51

Q: What are the energies relative to the best structure? A: model one 0.0; model two 117.1, in kJ/mol of atoms.

Model one:
Ba2InP2: optimized geometry, PBE.

Results
- volume (Å³/cell) = 329

a = 8.6291 Å, b = 8.6291 Å, c = 8.9876 Å
α = 90.00°, β = 90.00°, γ = 150.57°
Last column: nearest neighbours and their distance in Å.
Fractional coordinates of all 10 atoms:
Ba (0.0458, 0.9542, 0.5000)  5 P 3.25-3.40, 2 In 3.56
Ba (0.1918, 0.8082, 0.8718)  5 P 3.26-3.37
Ba (0.8082, 0.1918, 0.3718)  5 P 3.26-3.37
Ba (0.9542, 0.0458, 0.0000)  5 P 3.25-3.40, 2 In 3.56
In (0.4031, 0.5969, 0.6654)  3 P 2.63-2.70
In (0.5969, 0.4031, 0.1654)  3 P 2.63-2.70
P (0.1817, 0.8183, 0.2406)  2 In 2.70
P (0.4547, 0.5453, 0.2898)  1 In 2.63
P (0.5453, 0.4547, 0.7898)  1 In 2.63
P (0.8183, 0.1817, 0.7406)  2 In 2.70

Model two:
Ba2InP2: optimized geometry, PBE.

Results
- volume (Å³/cell) = 302

a = 8.1965 Å, b = 8.1965 Å, c = 4.4884 Å
α = 90.00°, β = 90.00°, γ = 90.00°
Last column: nearest neighbours and their distance in Å.
Fractional coordinates of all 10 atoms:
Ba (0.1452, 0.3548, 0.0000)  6 P 3.13-3.41, 1 Ba 3.37
Ba (0.3548, 0.8548, 0.0000)  6 P 3.13-3.41, 1 Ba 3.37
Ba (0.6452, 0.1452, 0.0000)  6 P 3.13-3.41, 1 Ba 3.37
Ba (0.8548, 0.6452, 0.0000)  6 P 3.13-3.41, 1 Ba 3.37
In (0.0000, 0.0000, 0.5000)  4 P 3.05
In (0.5000, 0.5000, 0.5000)  4 P 3.05
P (0.1670, 0.6670, 0.5000)  2 In 3.05, 6 Ba 3.13-3.41
P (0.3330, 0.1670, 0.5000)  2 In 3.05, 6 Ba 3.13-3.41
P (0.6670, 0.8330, 0.5000)  2 In 3.05, 6 Ba 3.13-3.41
P (0.8330, 0.3330, 0.5000)  2 In 3.05, 6 Ba 3.13-3.41

Q: What are the energies relative to the best structure? A: model one 0.0; model two 16.4, in kJ/mol of atoms.

Model one:
BaInPS2: optimized geometry, PBE.

Results
- volume (Å³/cell) = 136

a = 5.2096 Å, b = 5.2096 Å, c = 5.0141 Å
α = 90.00°, β = 90.00°, γ = 90.00°
Last column: nearest neighbours and their distance in Å.
Fractional coordinates of all 5 atoms:
Ba (0.0000, 0.0000, 0.0000)  8 S 3.62, 4 P 3.68
In (0.5000, 0.5000, 0.5000)  2 P 2.51, 4 S 2.60
P (0.5000, 0.5000, 0.0000)  2 In 2.51
S (0.0000, 0.5000, 0.5000)  2 In 2.60
S (0.5000, 0.0000, 0.5000)  2 In 2.60

Model two:
BaInPS2: optimized geometry, PBE.

Results
- volume (Å³/cell) = 231

a = 6.0494 Å, b = 6.0494 Å, c = 6.3093 Å
α = 90.00°, β = 90.00°, γ = 90.00°
Last column: nearest neighbours and their distance in Å.
Fractional coordinates of all 5 atoms:
Ba (0.0000, 0.0000, 0.0000)  4 S 3.02, 2 P 3.15
In (0.5000, 0.5000, 0.5000)  4 P 4.28, 8 S 4.37
P (0.0000, 0.0000, 0.5000)  2 Ba 3.15
S (0.0000, 0.5000, 0.0000)  2 Ba 3.02
S (0.5000, 0.0000, 0.0000)  2 Ba 3.02

Q: What are the energies relative to the best structure? A: model one 0.0; model two 88.5, in kJ/mol of atoms.

Model one:
Ba2InPb2: optimized geometry, PBE.

Results
- volume (Å³/cell) = 407

a = 10.4301 Å, b = 10.4301 Å, c = 3.7411 Å
α = 90.00°, β = 90.00°, γ = 90.00°
Last column: nearest neighbours and their distance in Å.
Fractional coordinates of all 10 atoms:
Ba (0.1296, 0.3704, 0.0000)  6 Pb 3.48-3.68, 3 Ba 3.74-3.82
Ba (0.3704, 0.8704, 0.0000)  6 Pb 3.48-3.68, 3 Ba 3.74-3.82
Ba (0.6296, 0.1296, 0.0000)  6 Pb 3.48-3.68, 3 Ba 3.74-3.82
Ba (0.8704, 0.6296, 0.0000)  6 Pb 3.48-3.68, 3 Ba 3.74-3.82
In (0.0000, 0.0000, 0.0000)  2 In 3.74, 4 Ba 4.09
In (0.5000, 0.5000, 0.0000)  2 In 3.74, 4 Ba 4.09
Pb (0.1716, 0.6716, 0.5000)  6 Ba 3.48-3.68, 2 Pb 3.74
Pb (0.3284, 0.1716, 0.5000)  6 Ba 3.48-3.68, 2 Pb 3.74
Pb (0.6716, 0.8284, 0.5000)  6 Ba 3.48-3.68, 2 Pb 3.74
Pb (0.8284, 0.3284, 0.5000)  6 Ba 3.48-3.68, 2 Pb 3.74

Model two:
Ba2InPb2: optimized geometry, PBE.

Results
- volume (Å³/cell) = 234

a = 7.8826 Å, b = 7.8826 Å, c = 7.8826 Å
α = 135.91°, β = 135.91°, γ = 64.12°
Last column: nearest neighbours and their distance in Å.
Fractional coordinates of all 5 atoms:
Ba (0.2500, 0.7500, 0.5000)  4 Pb 3.53
Ba (0.7500, 0.2500, 0.5000)  4 Pb 3.53
In (0.0000, 0.0000, 0.0000)  8 Pb 4.41, 8 Ba 4.46
Pb (0.3946, 0.3946, 0.0000)  1 Pb 2.82
Pb (0.6054, 0.6054, 0.0000)  1 Pb 2.82

Model three:
Ba2InPb2: optimized geometry, PBE.

Results
- volume (Å³/cell) = 192

a = 6.9519 Å, b = 6.9519 Å, c = 6.9519 Å
α = 137.49°, β = 119.58°, γ = 76.66°
Last column: nearest neighbours and their distance in Å.
Fractional coordinates of all 5 atoms:
Ba (0.2049, 0.2049, 0.0000)  6 Pb 3.70-3.76, 2 In 4.09
Ba (0.7951, 0.7951, 0.0000)  6 Pb 3.70-3.76, 2 In 4.09
In (0.5000, 0.0000, 0.5000)  4 Pb 3.12
Pb (0.2378, 0.5000, 0.7378)  2 In 3.12, 1 Pb 3.33
Pb (0.7622, 0.5000, 0.2622)  2 In 3.12, 1 Pb 3.33

Model four:
Ba2InPb2: optimized geometry, PBE.

Results
- volume (Å³/cell) = 382

a = 7.0919 Å, b = 7.0919 Å, c = 12.3903 Å
α = 114.81°, β = 114.81°, γ = 43.36°
Last column: nearest neighbours and their distance in Å.
Fractional coordinates of all 10 atoms:
Ba (0.9996, 0.9996, 0.1690)  3 In 3.66-4.05, 6 Pb 3.67-3.84
Ba (0.0004, 0.0004, 0.8310)  3 In 3.66-4.05, 6 Pb 3.67-3.84
Ba (0.1790, 0.1790, 0.6089)  6 Pb 3.56-3.83, 2 In 3.85
Ba (0.8210, 0.8210, 0.3911)  6 Pb 3.56-3.83, 2 In 3.85
In (0.3002, 0.3002, 0.1546)  4 Pb 3.12-3.13
In (0.6998, 0.6998, 0.8454)  4 Pb 3.12-3.13
Pb (0.3455, 0.3455, 0.9285)  3 In 3.12-3.13
Pb (0.4672, 0.4672, 0.6102)  1 In 3.13, 1 Pb 3.21
Pb (0.5328, 0.5328, 0.3898)  1 In 3.13, 1 Pb 3.21
Pb (0.6545, 0.6545, 0.0715)  3 In 3.12-3.13

Q: What are the energies relative to the best structure? A: model one 33.5; model two 46.9; model three 5.6; model four 0.0, in kJ/mol of atoms.